No. 1
DFT (PBE) results for TbPmNi2Ge2 after structural relaxation.

Lattice parameters (Å, degrees): 4.138 4.138 7.872 90.00 90.00 120.00
Positions (direct):
Tb 0.000 0.000 0.000
Pm 0.000 0.000 0.500
Ni 0.333 0.667 0.237
Ni 0.667 0.333 0.763
Ge 0.333 0.667 0.756
Ge 0.667 0.333 0.244

## Properties
DOS(E_F): 7.1 states/eV/f.u.
energy: -34.6 eV for the cell shown
ΔE_f: -0.734 eV per atom


No. 2
DFT (PBE) results for PmThNiGe after structural relaxation.

Lattice parameters (Å, degrees): 5.082 5.082 5.082 60.00 60.00 60.00
Positions (direct):
Pm 0.000 0.000 0.000
Th 0.500 0.500 0.500
Ni 0.750 0.750 0.750
Ge 0.250 0.250 0.250

## Properties
DOS(E_F): 4.3 states/eV/f.u.
energy: -24.0 eV for the cell shown
ΔE_f: -0.368 eV per atom


No. 3
DFT (PBE) results for PmThNi2Ge2 after structural relaxation.

Lattice parameters (Å, degrees): 4.168 4.168 8.039 90.00 90.00 120.00
Positions (direct):
Pm 0.000 0.000 0.000
Th 0.000 0.000 0.500
Ni 0.333 0.667 0.744
Ni 0.667 0.333 0.256
Ge 0.333 0.667 0.248
Ge 0.667 0.333 0.752

## Properties
DOS(E_F): 6.7 states/eV/f.u.
energy: -37.5 eV for the cell shown
ΔE_f: -0.753 eV per atom


No. 4
DFT (PBE) results for Pm2TiNi3Ge4 after structural relaxation.

Lattice parameters (Å, degrees): 4.108 4.108 10.389 90.00 90.00 90.00
Positions (direct):
Pm 0.000 0.500 0.236
Pm 0.500 0.000 0.764
Ti 0.000 0.000 0.500
Ni 0.000 0.500 0.880
Ni 0.500 0.000 0.120
Ni 0.500 0.500 0.500
Ge 0.000 0.000 0.000
Ge 0.000 0.500 0.648
Ge 0.500 0.000 0.352
Ge 0.500 0.500 0.000

## Properties
DOS(E_F): 4.8 states/eV/f.u.
energy: -60.1 eV for the cell shown
ΔE_f: -0.691 eV per atom


No. 5
DFT (PBE) results for PmTmNi2Ge2 after structural relaxation.

Lattice parameters (Å, degrees): 4.245 4.245 7.154 90.00 90.00 120.00
Positions (direct):
Pm 0.000 0.000 0.000
Tm 0.000 0.000 0.500
Ni 0.333 0.667 0.708
Ni 0.667 0.333 0.292
Ge 0.333 0.667 0.272
Ge 0.667 0.333 0.728

## Properties
DOS(E_F): 5.1 states/eV/f.u.
energy: -34.6 eV for the cell shown
ΔE_f: -0.757 eV per atom


No. 6
DFT (PBE) results for Pm2TmNi3Ge4 after structural relaxation.

Lattice parameters (Å, degrees): 4.166 4.166 10.856 90.00 90.00 90.00
Positions (direct):
Pm 0.000 0.500 0.224
Pm 0.500 0.000 0.776
Tm 0.000 0.000 0.500
Ni 0.000 0.500 0.889
Ni 0.500 0.000 0.111
Ni 0.500 0.500 0.500
Ge 0.000 0.000 0.000
Ge 0.000 0.500 0.670
Ge 0.500 0.000 0.330
Ge 0.500 0.500 0.000

## Properties
DOS(E_F): 5.6 states/eV/f.u.
energy: -56.5 eV for the cell shown
ΔE_f: -0.672 eV per atom


No. 7
DFT (PBE) results for Pm2VNi3Ge4 after structural relaxation.

Lattice parameters (Å, degrees): 4.101 4.101 10.207 90.00 90.00 90.00
Positions (direct):
Pm 0.000 0.500 0.240
Pm 0.500 0.000 0.760
V 0.000 0.000 0.500
Ni 0.000 0.500 0.877
Ni 0.500 0.000 0.123
Ni 0.500 0.500 0.500
Ge 0.000 0.000 0.000
Ge 0.000 0.500 0.640
Ge 0.500 0.000 0.360
Ge 0.500 0.500 0.000

## Properties
DOS(E_F): 6.1 states/eV/f.u.
energy: -60.6 eV for the cell shown
ΔE_f: -0.621 eV per atom


No. 8
DFT (PBE) results for PmYNi2Ge2 after structural relaxation.

Lattice parameters (Å, degrees): 4.144 4.144 7.822 90.00 90.00 120.00
Positions (direct):
Pm 0.000 0.000 0.000
Y 0.000 0.000 0.500
Ni 0.333 0.667 0.737
Ni 0.667 0.333 0.263
Ge 0.333 0.667 0.256
Ge 0.667 0.333 0.744

## Properties
DOS(E_F): 7.1 states/eV/f.u.
energy: -36.4 eV for the cell shown
ΔE_f: -0.739 eV per atom


No. 9
DFT (PBE) results for Pm2ZnNi6Ge after structural relaxation.

Lattice parameters (Å, degrees): 6.238 6.238 8.154 129.79 129.79 46.56
Positions (direct):
Pm 0.246 0.246 0.201
Pm 0.754 0.754 0.799
Zn 0.500 0.500 0.000
Ni 0.242 0.734 0.732
Ni 0.251 0.251 0.581
Ni 0.266 0.758 0.268
Ni 0.734 0.242 0.732
Ni 0.749 0.749 0.419
Ni 0.758 0.266 0.268
Ge 0.000 0.000 0.500

## Properties
DOS(E_F): 5.4 states/eV/f.u.
energy: -53.5 eV for the cell shown
ΔE_f: -0.345 eV per atom


No. 10
DFT (PBE) results for PmZnNi4Ge2 after structural relaxation.

Lattice parameters (Å, degrees): 8.728 8.728 8.728 26.83 26.83 26.83
Positions (direct):
Pm 0.000 0.000 0.000
Zn 0.500 0.500 0.500
Ni 0.133 0.133 0.133
Ni 0.407 0.407 0.407
Ni 0.593 0.593 0.593
Ni 0.867 0.867 0.867
Ge 0.243 0.243 0.243
Ge 0.757 0.757 0.757

## Properties
DOS(E_F): 5.0 states/eV/f.u.
energy: -41.5 eV for the cell shown
ΔE_f: -0.391 eV per atom


No. 11
DFT (PBE) results for Pm2Zn3NiGe4 after structural relaxation.

Lattice parameters (Å, degrees): 4.227 4.227 10.466 90.00 90.00 90.00
Positions (direct):
Pm 0.000 0.500 0.238
Pm 0.500 0.000 0.762
Zn 0.000 0.000 0.000
Zn 0.000 0.500 0.641
Zn 0.500 0.000 0.359
Ni 0.500 0.500 0.000
Ge 0.000 0.000 0.500
Ge 0.000 0.500 0.874
Ge 0.500 0.000 0.126
Ge 0.500 0.500 0.500

## Properties
DOS(E_F): 1.3 states/eV/f.u.
energy: -42.1 eV for the cell shown
ΔE_f: -0.456 eV per atom


No. 12
DFT (PBE) results for PmZnNiGe2 after structural relaxation.

Lattice parameters (Å, degrees): 5.994 5.994 5.994 139.85 139.85 58.09
Positions (direct):
Pm 0.000 0.000 0.000
Zn 0.250 0.750 0.500
Ni 0.750 0.250 0.500
Ge 0.379 0.379 0.000
Ge 0.621 0.621 0.000

## Properties
DOS(E_F): 1.3 states/eV/f.u.
energy: -23.9 eV for the cell shown
ΔE_f: -0.580 eV per atom


No. 13
DFT (PBE) results for Pm2ZnNi4Ge3 after structural relaxation.

Lattice parameters (Å, degrees): 4.136 4.136 9.747 90.00 90.00 90.00
Positions (direct):
Pm 0.000 0.500 0.249
Pm 0.500 0.000 0.751
Zn 0.000 0.000 0.500
Ni 0.000 0.000 0.000
Ni 0.000 0.500 0.630
Ni 0.500 0.000 0.370
Ni 0.500 0.500 0.000
Ge 0.000 0.500 0.872
Ge 0.500 0.000 0.128
Ge 0.500 0.500 0.500

## Properties
DOS(E_F): 7.3 states/eV/f.u.
energy: -54.1 eV for the cell shown
ΔE_f: -0.636 eV per atom


No. 14
DFT (PBE) results for Pm2ZrNi3Ge4 after structural relaxation.

Lattice parameters (Å, degrees): 4.149 4.149 10.628 90.00 90.00 90.00
Positions (direct):
Pm 0.000 0.500 0.227
Pm 0.500 0.000 0.773
Zr 0.000 0.000 0.500
Ni 0.000 0.500 0.886
Ni 0.500 0.000 0.114
Ni 0.500 0.500 0.500
Ge 0.000 0.000 0.000
Ge 0.000 0.500 0.660
Ge 0.500 0.000 0.340
Ge 0.500 0.500 0.000

## Properties
DOS(E_F): 4.8 states/eV/f.u.
energy: -60.7 eV for the cell shown
ΔE_f: -0.687 eV per atom


No. 15
DFT (PBE) results for Pr4Ni3Ge after structural relaxation.

Lattice parameters (Å, degrees): 4.105 4.290 10.661 90.00 90.00 90.00
Positions (direct):
Pr 0.000 0.000 0.000
Pr 0.000 0.500 0.271
Pr 0.500 0.000 0.484
Pr 0.500 0.500 0.774
Ni 0.000 0.500 0.561
Ni 0.500 0.000 0.199
Ni 0.500 0.500 0.072
Ge 0.000 0.000 0.699

## Properties
DOS(E_F): 6.1 states/eV/f.u.
energy: -44.4 eV for the cell shown
ΔE_f: -0.418 eV per atom


No. 16
DFT (PBE) results for PrNi3Ge after structural relaxation.

Lattice parameters (Å, degrees): 4.525 4.525 4.496 90.00 90.00 104.89
Positions (direct):
Pr 0.000 0.000 0.000
Ni 0.000 0.500 0.500
Ni 0.500 0.000 0.500
Ni 0.500 0.500 0.000
Ge 0.500 0.500 0.500

## Properties
DOS(E_F): 3.8 states/eV/f.u.
energy: -27.4 eV for the cell shown
polymorph energy (0 for the lowest one): 117.1 meV/atom
ΔE_f: -0.139 eV per atom


No. 17
DFT (PBE) results for Pr8NiGe2 after structural relaxation.

Lattice parameters (Å, degrees): 9.832 9.832 7.302 101.38 101.38 28.09
Positions (direct):
Pr 0.015 0.015 0.285
Pr 0.215 0.215 0.836
Pr 0.346 0.346 0.498
Pr 0.405 0.405 0.009
Pr 0.595 0.595 0.991
Pr 0.654 0.654 0.502
Pr 0.785 0.785 0.164
Pr 0.985 0.985 0.715
Ni 0.500 0.500 0.500
Ge 0.182 0.182 0.251
Ge 0.818 0.818 0.749

## Properties
DOS(E_F): 11.8 states/eV/f.u.
energy: -56.8 eV for the cell shown
ΔE_f: -0.321 eV per atom


No. 18
DFT (PBE) results for Pr3Ni2Ge4 after structural relaxation.

Lattice parameters (Å, degrees): 5.940 5.940 8.412 107.43 107.43 42.24
Positions (direct):
Pr 0.000 0.000 0.000
Pr 0.382 0.382 0.314
Pr 0.618 0.618 0.686
Ni 0.319 0.319 0.659
Ni 0.681 0.681 0.341
Ge 0.116 0.116 0.403
Ge 0.283 0.283 0.925
Ge 0.717 0.717 0.075
Ge 0.884 0.884 0.597

## Properties
DOS(E_F): 5.9 states/eV/f.u.
energy: -50.9 eV for the cell shown
polymorph energy (0 for the lowest one): 32.2 meV/atom
ΔE_f: -0.729 eV per atom


No. 19
DFT (PBE) results for Pr2Ni5Ge3 after structural relaxation.

Lattice parameters (Å, degrees): 8.189 8.189 8.189 108.45 86.49 138.13
Positions (direct):
Pr 0.129 0.245 0.375
Pr 0.371 0.745 0.116
Pr 0.629 0.255 0.884
Pr 0.871 0.755 0.625
Ni 0.017 0.750 0.267
Ni 0.128 0.884 0.012
Ni 0.250 0.750 0.500
Ni 0.372 0.384 0.757
Ni 0.483 0.750 0.733
Ni 0.517 0.250 0.267
Ni 0.628 0.616 0.243
Ni 0.750 0.250 0.500
Ni 0.872 0.116 0.988
Ni 0.983 0.250 0.733
Ge 0.117 0.635 0.752
Ge 0.250 0.250 0.000
Ge 0.383 0.135 0.517
Ge 0.617 0.865 0.483
Ge 0.750 0.750 0.000
Ge 0.883 0.365 0.248

## Properties
DOS(E_F): 9.3 states/eV/f.u.
energy: -115.6 eV for the cell shown
polymorph energy (0 for the lowest one): 0.0 meV/atom
ΔE_f: -0.547 eV per atom


No. 20
DFT (PBE) results for Pr3Ni3Ge2 after structural relaxation.

Lattice parameters (Å, degrees): 5.728 5.728 14.463 90.00 90.00 136.23
Positions (direct):
Pr 0.089 0.911 0.605
Pr 0.089 0.911 0.895
Pr 0.383 0.617 0.750
Pr 0.617 0.383 0.250
Pr 0.911 0.089 0.105
Pr 0.911 0.089 0.395
Ni 0.312 0.688 0.250
Ni 0.377 0.623 0.538
Ni 0.377 0.623 0.962
Ni 0.623 0.377 0.038
Ni 0.623 0.377 0.462
Ni 0.688 0.312 0.750
Ge 0.203 0.797 0.097
Ge 0.203 0.797 0.403
Ge 0.797 0.203 0.597
Ge 0.797 0.203 0.903

## Properties
DOS(E_F): 7.0 states/eV/f.u.
energy: -90.5 eV for the cell shown
ΔE_f: -0.543 eV per atom